[1]
# Na2SiGeTe | the Alexandria database | PBE | optimized geometry
data_Na2SiGeTe
_space_group_name_H-M_alt 'P 4/m m m'
_space_group_IT_number 123
_space_group_name_Hall '-P 4 2'
_cell_length_a 5.663
_cell_length_b 5.663
_cell_length_c 5.460
_cell_angle_alpha 90.00
_cell_angle_beta 90.00
_cell_angle_gamma 90.00
loop_
_atom_site_label
_atom_site_type_symbol
_atom_site_fract_x
_atom_site_fract_y
_atom_site_fract_z
Na1 Na 0.000 0.500 0.000
Si1 Si 0.000 0.000 0.500
Ge1 Ge 0.500 0.500 0.500
Te1 Te 0.500 0.500 0.000
# Energy relative to the elements, uncorrected in kJ/mol of atoms: 52.4



[2]
# Zn3Fe | the Alexandria database | PBE | optimized geometry
data_Zn3Fe
_space_group_name_H-M_alt 'C m m m'
_space_group_IT_number 65
_space_group_name_Hall '-C 2 2'
_cell_length_a 5.247
_cell_length_b 7.750
_cell_length_c 2.655
_cell_angle_alpha 90.00
_cell_angle_beta 90.00
_cell_angle_gamma 90.00
loop_
_atom_site_label
_atom_site_type_symbol
_atom_site_fract_x
_atom_site_fract_y
_atom_site_fract_z
Zn1 Zn 0.000 0.000 0.000
Zn2 Zn 0.250 0.250 0.500
Fe1 Fe 0.000 0.500 0.000
# E in eV/atom: -3.056



[3]
# La5CuCl4 | the Alexandria database | PBE | optimized geometry
data_La5CuCl4
_space_group_name_H-M_alt 'I m m m'
_space_group_IT_number 71
_space_group_name_Hall '-I 2 2'
_cell_length_a 4.216
_cell_length_b 5.884
_cell_length_c 20.756
_cell_angle_alpha 90.00
_cell_angle_beta 90.00
_cell_angle_gamma 90.00
loop_
_atom_site_label
_atom_site_type_symbol
_atom_site_fract_x
_atom_site_fract_y
_atom_site_fract_z
La1 La 0.000 0.000 0.000
La2 La 0.000 0.000 0.198
La3 La 0.000 0.000 0.399
Cu1 Cu 0.000 0.500 0.000
Cl1 Cl 0.000 0.500 0.203
Cl2 Cl 0.000 0.500 0.401
# Energy relative to the elements, uncorrected in kJ/mol of atoms: -123.6



[4]
# Tb3SmCd2 | the Alexandria database | PBE | optimized geometry
data_Tb3SmCd2
_space_group_name_H-M_alt 'P 4/m m m'
_space_group_IT_number 123
_space_group_name_Hall '-P 4 2'
_cell_length_a 3.676
_cell_length_b 3.676
_cell_length_c 12.759
_cell_angle_alpha 90.00
_cell_angle_beta 90.00
_cell_angle_gamma 90.00
loop_
_atom_site_label
_atom_site_type_symbol
_atom_site_fract_x
_atom_site_fract_y
_atom_site_fract_z
Tb1 Tb 0.000 0.000 0.000
Tb2 Tb 0.000 0.000 0.305
Sm1 Sm 0.500 0.500 0.500
Cd1 Cd 0.500 0.500 0.152
# E in eV/atom: -3.608



[5]
# KGe2Pd2 | the Alexandria database | PBE | optimized geometry
data_KGe2Pd2
_space_group_name_H-M_alt 'I 4/m m m'
_space_group_IT_number 139
_space_group_name_Hall '-I 4 2'
_cell_length_a 4.472
_cell_length_b 4.472
_cell_length_c 10.534
_cell_angle_alpha 90.00
_cell_angle_beta 90.00
_cell_angle_gamma 90.00
loop_
_atom_site_label
_atom_site_type_symbol
_atom_site_fract_x
_atom_site_fract_y
_atom_site_fract_z
K1 K 0.000 0.000 0.000
Ge1 Ge 0.000 0.000 0.364
Pd1 Pd 0.000 0.500 0.250
# Polymorph energy (0 for the lowest one) in meV per atom: 4



[6]
# P2AuCl | the Alexandria database | PBE | optimized geometry
data_P2AuCl
_space_group_name_H-M_alt 'P 1 2/m 1'
_space_group_IT_number 10
_space_group_name_Hall '-P 2y'
_cell_length_a 4.400
_cell_length_b 3.623
_cell_length_c 5.770
_cell_angle_alpha 90.00
_cell_angle_beta 90.61
_cell_angle_gamma 90.00
loop_
_atom_site_label
_atom_site_type_symbol
_atom_site_fract_x
_atom_site_fract_y
_atom_site_fract_z
P1 P 0.168 0.000 0.131
Au1 Au 0.500 0.500 0.000
Cl1 Cl 0.000 0.500 0.500
# Energy relative to the elements, uncorrected in kJ/mol of atoms: 7.7
# Polymorph energy (0 for the lowest one) in meV per atom: 84



[7]
# Ag2OsC | the Alexandria database | PBE | optimized geometry
data_Ag2OsC
_space_group_name_H-M_alt 'I -4 2 d'
_space_group_IT_number 122
_space_group_name_Hall 'I -4 2bw'
_cell_length_a 4.704
_cell_length_b 4.704
_cell_length_c 13.375
_cell_angle_alpha 90.00
_cell_angle_beta 90.00
_cell_angle_gamma 90.00
loop_
_atom_site_label
_atom_site_type_symbol
_atom_site_fract_x
_atom_site_fract_y
_atom_site_fract_z
Ag1 Ag 0.138 0.250 0.125
Os1 Os 0.000 0.000 0.500
C1 C 0.000 0.000 0.000
# E in eV/atom: -4.149



[8]
# LiTb2TaN4 | the Alexandria database | PBE | optimized geometry
data_LiTb2TaN4
_space_group_name_H-M_alt 'F m m 2'
_space_group_IT_number 42
_space_group_name_Hall 'F 2 -2'
_cell_length_a 6.733
_cell_length_b 9.576
_cell_length_c 6.760
_cell_angle_alpha 90.00
_cell_angle_beta 90.00
_cell_angle_gamma 90.00
loop_
_atom_site_label
_atom_site_type_symbol
_atom_site_fract_x
_atom_site_fract_y
_atom_site_fract_z
Li1 Li 0.000 0.000 0.000
Tb1 Tb 0.250 0.250 0.235
Ta1 Ta 0.000 0.000 0.441
N1 N 0.000 0.215 0.493
N2 N 0.224 0.000 0.259
# Energy relative to the elements, uncorrected in kJ/mol of atoms: -128.8



[9]
# Sr2IBr3 | the Alexandria database | PBE | optimized geometry
data_Sr2IBr3
_space_group_name_H-M_alt 'P -3 m 1'
_space_group_IT_number 164
_space_group_name_Hall '-P 3 2"'
_cell_length_a 9.3220
_cell_length_b 9.3220
_cell_length_c 7.0897
_cell_angle_alpha 90.00
_cell_angle_beta 90.00
_cell_angle_gamma 120.00
loop_
_atom_site_label
_atom_site_type_symbol
_atom_site_fract_x
_atom_site_fract_y
_atom_site_fract_z
Sr1 Sr 0.0000 0.0000 0.0000
Sr2 Sr 0.0000 0.5000 0.0000
I1 I 0.3333 0.6667 0.7305
Br1 Br 0.1674 0.3349 0.2147
# Energy relative to the elements, uncorrected in kJ/mol of atoms: -193.6



[10]
# AlVBr2 | the Alexandria database | PBE | optimized geometry
data_AlVBr2
_space_group_name_H-M_alt 'R -3 m'
_space_group_IT_number 166
_space_group_name_Hall '-R 3 2"'
_cell_length_a 3.6780
_cell_length_b 3.6780
_cell_length_c 28.8581
_cell_angle_alpha 90.00
_cell_angle_beta 90.00
_cell_angle_gamma 120.00
loop_
_atom_site_label
_atom_site_type_symbol
_atom_site_fract_x
_atom_site_fract_y
_atom_site_fract_z
Al1 Al 0.0000 0.0000 0.0000
V1 V 0.0000 0.0000 0.5000
Br1 Br 0.0000 0.0000 0.1135
# Energy relative to the elements, uncorrected in kJ/mol of atoms: -13.4
# Polymorph energy (0 for the lowest one) in meV per atom: 0



[11]
# CoTcNi2 | the Alexandria database | PBE | optimized geometry
data_CoTcNi2
_space_group_name_H-M_alt 'P m m 2'
_space_group_IT_number 25
_space_group_name_Hall 'P 2 -2'
_cell_length_a 2.563
_cell_length_b 3.612
_cell_length_c 5.039
_cell_angle_alpha 90.00
_cell_angle_beta 90.00
_cell_angle_gamma 90.00
loop_
_atom_site_label
_atom_site_type_symbol
_atom_site_fract_x
_atom_site_fract_y
_atom_site_fract_z
Co1 Co 0.000 0.000 0.000
Tc1 Tc 0.500 0.500 0.757
Ni1 Ni 0.000 0.000 0.494
Ni2 Ni 0.500 0.500 0.254
# Polymorph energy (0 for the lowest one) in meV per atom: 9



[12]
# Tb6Er2Tm3Pb | the Alexandria database | PBE | optimized geometry
data_Tb6Er2Tm3Pb
_space_group_name_H-M_alt 'C 1 2/m 1'
_space_group_IT_number 12
_space_group_name_Hall '-C 2y'
_cell_length_a 6.075
_cell_length_b 10.528
_cell_length_c 11.630
_cell_angle_alpha 90.00
_cell_angle_beta 100.06
_cell_angle_gamma 90.00
loop_
_atom_site_label
_atom_site_type_symbol
_atom_site_fract_x
_atom_site_fract_y
_atom_site_fract_z
Tb1 Tb 0.247 0.000 0.249
Tb2 Tb 0.248 0.165 0.750
Er1 Er 0.000 0.334 0.500
Tm1 Tm 0.000 0.168 0.000
Tm2 Tm 0.000 0.500 0.000
Pb1 Pb 0.000 0.000 0.500
# E in eV/atom: -4.549